Material: KOs2Au
Method: DFT, GGA-PBE
State: optimized geometry

abc: 4.683 4.683 4.683
angles: 60.00 60.00 60.00
Fractional coordinates of all 4 atoms:
K1 0.000 0.000 0.000
Os1 0.250 0.250 0.250
Os2 0.750 0.750 0.750
Au1 0.500 0.500 0.500

Calculated values
**Energy relative to the elements**: 7.93 eV per formula unit
**VASP energy**: -4.727 eV/atom
**ΔE to the lowest computed polymorph**: 1438 meV/atom
**Space group**: Fm-3m (225)

---

Material: Li2AcY2Ge2
Method: DFT, GGA-PBE
State: optimized geometry

abc: 9.763 9.763 9.763
angles: 27.12 27.12 27.12
Fractional coordinates of all 7 atoms:
Li1 0.087 0.087 0.087
Li2 0.913 0.913 0.913
Ac1 0.500 0.500 0.500
Y1 0.370 0.370 0.370
Y2 0.630 0.630 0.630
Ge1 0.246 0.246 0.246
Ge2 0.754 0.754 0.754

Calculated values
**Energy relative to the elements**: -3.45 eV per formula unit
**VASP energy**: -4.793 eV/atom
**Space group**: R-3m (166)

---

Material: ErTm3Tl
Method: DFT, GGA-PBE
State: optimized geometry

abc: 12.771 12.771 4.733
angles: 90.00 90.00 158.56
Fractional coordinates of all 10 atoms:
Er1 0.149 0.851 0.750
Er2 0.851 0.149 0.250
Tm1 0.047 0.953 0.250
Tm2 0.251 0.749 0.250
Tm3 0.448 0.552 0.250
Tm4 0.552 0.448 0.750
Tm5 0.749 0.251 0.750
Tm6 0.953 0.047 0.750
Tl1 0.349 0.651 0.750
Tl2 0.651 0.349 0.250

Calculated values
**Energy relative to the elements**: -0.55 eV per formula unit
**VASP energy**: -4.179 eV/atom
**ΔE to the lowest computed polymorph**: 0 meV/atom
**Space group**: Cmcm (63)

---

Material: CuNi2
Method: DFT, GGA-PBE
State: optimized geometry

abc: 4.630 4.630 4.630
angles: 60.00 60.00 60.00
Fractional coordinates of all 6 atoms:
Cu1 0.125 0.125 0.125
Cu2 0.875 0.875 0.875
Ni1 0.000 0.500 0.500
Ni2 0.500 0.000 0.500
Ni3 0.500 0.500 0.000
Ni4 0.500 0.500 0.500

Calculated values
**Energy relative to the elements**: 0.46 eV per formula unit
**VASP energy**: -5.067 eV/atom
**Space group**: Fd-3m (227)

---

Material: CaNiRh
Method: DFT, GGA-PBE
State: optimized geometry

abc: 5.466 5.466 5.466
angles: 133.50 100.78 97.16
Fractional coordinates of all 6 atoms:
Ca1 0.000 0.000 0.000
Ca2 0.615 0.115 0.500
Ni1 0.216 0.393 0.823
Ni2 0.570 0.393 0.177
Rh1 0.027 0.717 0.310
Rh2 0.408 0.717 0.690

Calculated values
**Energy relative to the elements**: -0.39 eV per formula unit
**VASP energy**: -5.176 eV/atom
**Space group**: Imm2 (44)

---

Material: Y2Ru3C2
Method: DFT, GGA-PBE
State: optimized geometry

abc: 5.198 5.198 7.194
angles: 109.54 109.54 34.35
Fractional coordinates of all 7 atoms:
Y1 0.144 0.144 0.284
Y2 0.856 0.856 0.716
Ru1 0.363 0.363 0.102
Ru2 0.500 0.500 0.500
Ru3 0.637 0.637 0.898
C1 0.141 0.141 0.696
C2 0.859 0.859 0.304

Calculated values
**Energy relative to the elements**: 0.36 eV per formula unit
**VASP energy**: -8.407 eV/atom
**Space group**: C2/m (12)

---

Material: Na8SnSe6
Method: DFT, GGA-PBE
State: optimized geometry

abc: 8.346 8.648 12.010
angles: 90.00 90.00 90.00
Fractional coordinates of all 30 atoms:
Na1 0.000 0.131 0.000
Na2 0.000 0.235 0.446
Na3 0.186 0.648 0.112
Na4 0.198 0.579 0.803
Na5 0.232 0.941 0.764
Na6 0.268 0.059 0.264
Na7 0.302 0.421 0.303
Na8 0.314 0.352 0.612
Na9 0.500 0.765 0.946
Na10 0.500 0.869 0.500
Na11 0.686 0.352 0.612
Na12 0.698 0.421 0.303
Na13 0.732 0.059 0.264
Na14 0.768 0.941 0.764
Na15 0.802 0.579 0.803
Na16 0.814 0.648 0.112
Sn1 0.000 0.742 0.463
Sn2 0.500 0.258 0.963
Se1 0.000 0.286 0.218
Se2 0.000 0.501 0.593
Se3 0.000 0.785 0.936
Se4 0.000 0.981 0.588
Se5 0.248 0.256 0.843
Se6 0.252 0.744 0.343
Se7 0.500 0.019 0.088
Se8 0.500 0.215 0.436
Se9 0.500 0.499 0.093
Se10 0.500 0.714 0.718
Se11 0.748 0.744 0.343
Se12 0.752 0.256 0.843

Calculated values
**Formation energy from raw total energies**: -0.916 eV/atom
**VASP energy**: -3.280 eV/atom
**Space group**: Pmn2_1 (31)

---

Material: LiZnInGa
Method: DFT, GGA-PBE
State: optimized geometry

abc: 4.735 4.735 4.735
angles: 60.00 60.00 60.00
Fractional coordinates of all 4 atoms:
Li1 0.000 0.000 0.000
Zn1 0.500 0.500 0.500
In1 0.750 0.750 0.750
Ga1 0.250 0.250 0.250

Calculated values
**Energy relative to the elements**: -0.34 eV per formula unit
**VASP energy**: -2.323 eV/atom
**ΔE to the lowest computed polymorph**: 47 meV/atom
**Space group**: F-43m (216)

---

Material: CrCd2Co
Method: DFT, GGA-PBE
State: optimized geometry

abc: 5.438 5.438 4.672
angles: 115.25 115.25 32.29
Fractional coordinates of all 4 atoms:
Cr1 0.000 0.000 0.000
Cd1 0.224 0.224 0.724
Cd2 0.446 0.446 0.446
Co1 0.697 0.697 0.198

Calculated values
**Energy relative to the elements**: 1.59 eV per formula unit
**VASP energy**: -4.243 eV/atom
**ΔE to the lowest computed polymorph**: 137 meV/atom
**Space group**: Cm (8)

---

Material: ScNi3H
Method: DFT, GGA-PBE
State: optimized geometry

abc: 5.994 5.994 5.994
angles: 132.34 132.34 69.70
Fractional coordinates of all 10 atoms:
Sc1 0.168 0.168 0.000
Sc2 0.832 0.832 0.000
Ni1 0.125 0.625 0.500
Ni2 0.140 0.399 0.741
Ni3 0.375 0.875 0.500
Ni4 0.601 0.342 0.741
Ni5 0.601 0.860 0.259
Ni6 0.658 0.399 0.259
H1 0.500 0.500 0.000
H2 0.750 0.250 0.500

Calculated values
**VASP energy**: -5.533 eV/atom
**ΔE to the lowest computed polymorph**: 291 meV/atom
**Space group**: I-4m2 (119)

---

Material: PrTmCo2
Method: DFT, GGA-PBE
State: optimized geometry

abc: 4.799 4.799 4.799
angles: 60.00 60.00 60.00
Fractional coordinates of all 4 atoms:
Pr1 0.000 0.000 0.000
Tm1 0.500 0.500 0.500
Co1 0.250 0.250 0.250
Co2 0.750 0.750 0.750

Calculated values
**Energy relative to the elements**: -0.14 eV per formula unit
**VASP energy**: -5.900 eV/atom
**ΔE to the lowest computed polymorph**: 7 meV/atom
**Space group**: Fm-3m (225)

---

Material: BeSCl2
Method: DFT, GGA-PBE
State: optimized geometry

abc: 10.991 10.991 10.991
angles: 19.92 19.92 19.92
Fractional coordinates of all 4 atoms:
Be1 0.000 0.000 0.000
S1 0.500 0.500 0.500
Cl1 0.055 0.055 0.055
Cl2 0.945 0.945 0.945

Calculated values
**Formation energy from raw total energies**: -0.103 eV/atom
**VASP energy**: -2.990 eV/atom
**ΔE to the lowest computed polymorph**: 252 meV/atom
**Space group**: R-3m (166)